The following is a DFT calculation (GGA-PBE) of crystalline DyTlRuO6 at its relaxed geometry.

Output
**Formation energy from raw total energies**: -1.4035 eV/atom
**Volume**: 124 Å³/f.u.
**Density of states at the Fermi level**: 4.76 states/eV/cell

```
DyTlRuO6
1.0
5.521 0.000 0.000
-2.760 4.781 0.000
0.000 0.000 4.679
Dy Tl Ru O
1 1 1 6
Cartesian
0.000 0.000 0.000
2.760 1.594 2.340
0.000 3.187 0.000
-0.773 1.781 1.099
-1.604 3.221 3.581
0.773 1.781 3.581
-0.831 4.560 1.099
1.604 3.221 1.099
0.831 4.560 3.581
```